First-principles (PBE) data for a relaxed RbCe2F9 crystal, as listed in Alexandria.

Space group   P6/mmm (191)
Raw formation energy   -3.4984 eV/atom
Magnetization   0.00 μB/f.u.
DFT total energy   -71.66 eV/cell

Geometry as extended XYZ:
```
12
Lattice="7.8276 0.0000 0.0000 -3.9138 6.7789 0.0000 0.0000 0.0000 3.5965" Properties=species:S:1:pos:R:3 pbc="T T T"
Rb 0.0000 0.0000 0.0000
Ce 0.0000 4.5193 0.0000
Ce 3.9138 2.2596 0.0000
F -1.9569 3.3895 0.0000
F 0.0000 2.9926 1.7982
F -1.3221 5.2826 1.7982
F 2.5917 1.4963 1.7982
F 3.9138 0.0000 0.0000
F 1.9569 3.3895 0.0000
F 1.3221 5.2826 1.7982
F 5.2359 1.4963 1.7982
F 3.9138 3.7863 1.7982
```